RbSe2F: optimized geometry, PBE.

a b c (Å): 5.206 5.206 5.206
angles (deg): 60.00 60.00 60.00
Fractional coordinates of all 4 atoms:
1 Se 0.750 0.750 0.750
2 Rb 0.500 0.500 0.500
3 F 0.000 0.000 0.000
4 Se 0.250 0.250 0.250

As for the formation energy from raw total energies: 17.7 kJ/mol of formula units. The symmetry is No. 225. The total magnetization is 0.000 μB per atom. As for the density: 4.366 g cm⁻³. Its total energy is -2.406 eV/atom.

HfMn2Ni2: optimized geometry, PBE.

a b c (Å): 6.978 6.978 2.870
angles (deg): 90.00 90.00 90.00
Fractional coordinates of all 10 atoms:
1 Ni 0.869 0.631 0.000
2 Mn 0.839 0.339 0.500
3 Hf 0.500 0.500 0.000
4 Ni 0.369 0.869 0.000
5 Mn 0.339 0.161 0.500
6 Ni 0.631 0.131 0.000
7 Mn 0.161 0.661 0.500
8 Ni 0.131 0.369 0.000
9 Hf 0.000 0.000 0.000
10 Mn 0.661 0.839 0.500

As for the formation energy from the elements: -26.1 kJ/mol of formula units. The symmetry is No. 127. The total magnetization is 1.329 μB per atom. As for the density: 9.642 g cm⁻³. Its total energy is -8.025 eV/atom.

GdYMgNi: optimized geometry, PBE.

a b c (Å): 5.085 5.085 5.085
angles (deg): 60.00 60.00 60.00
Fractional coordinates of all 4 atoms:
1 Ni 0.250 0.250 0.250
2 Y 0.500 0.500 0.500
3 Gd 0.000 0.000 0.000
4 Mg 0.750 0.750 0.750

As for the formation energy from the elements: -41.2 kJ/mol of formula units. The symmetry is No. 216. The total magnetization is 1.789 μB per atom. As for the density: 5.880 g cm⁻³. Its total energy is -7.087 eV/atom.

Pr3Al2Cd9: optimized geometry, PBE.

a b c (Å): 8.906 8.906 8.906
angles (deg): 148.94 107.43 81.02
Fractional coordinates of all 14 atoms:
1 Cd 0.856 0.138 0.719
2 Al 0.312 0.500 0.812
3 Cd 0.144 0.862 0.281
4 Cd 0.500 0.000 0.500
5 Al 0.688 0.500 0.188
6 Pr 0.303 0.303 0.000
7 Cd 0.980 0.347 0.633
8 Cd 0.581 0.862 0.719
9 Cd 0.020 0.653 0.367
10 Pr 0.697 0.697 0.000
11 Cd 0.287 0.653 0.633
12 Pr 0.000 0.000 0.000
13 Cd 0.713 0.347 0.367
14 Cd 0.419 0.138 0.281

As for the formation energy from the elements: -346.5 kJ/mol of formula units. The symmetry is No. 71. The total magnetization is 0.000 μB per atom. As for the density: 7.259 g cm⁻³. Its total energy is -2.404 eV/atom.

Ta2IrBr: optimized geometry, PBE.

a b c (Å): 5.426 5.426 5.426
angles (deg): 146.51 127.52 63.70
Fractional coordinates of all 4 atoms:
1 Ta 0.991 0.991 0.000
2 Ir 0.250 0.750 0.500
3 Ta 0.509 0.509 0.000
4 Br 0.750 0.250 0.500

As for the formation energy from raw total energies: 215.8 kJ/mol of formula units. The symmetry is No. 71. The total magnetization is 0.000 μB per atom. As for the density: 15.231 g cm⁻³. Its total energy is -8.001 eV/atom.

TlSbSe3: optimized geometry, PBE.

a b c (Å): 6.402 5.699 8.208
angles (deg): 90.00 90.60 90.00
Fractional coordinates of all 10 atoms:
1 Se 0.020 0.750 0.333
2 Sb 0.588 0.250 0.667
3 Tl 0.027 0.750 0.832
4 Sb 0.412 0.750 0.333
5 Se 0.507 0.750 0.668
6 Tl 0.973 0.250 0.168
7 Se 0.485 0.250 0.992
8 Se 0.515 0.750 0.008
9 Se 0.980 0.250 0.667
10 Se 0.493 0.250 0.332

As for the formation energy from raw total energies: -83.5 kJ/mol of formula units. The symmetry is No. 11. The total magnetization is 0.000 μB per atom. As for the density: 6.244 g cm⁻³. Its total energy is -3.562 eV/atom.

Tl2Te: optimized geometry, PBE.

a b c (Å): 7.128 7.128 8.517
angles (deg): 60.29 60.29 35.59
Fractional coordinates of all 6 atoms:
1 Tl 0.711 0.711 0.622
2 Tl 0.995 0.995 0.016
3 Tl 0.727 0.727 0.040
4 Tl 0.011 0.011 0.434
5 Te 0.430 0.430 0.755
6 Te 0.292 0.292 0.300

As for the formation energy from raw total energies: -72.0 kJ/mol of formula units. The symmetry is No. 12. The total magnetization is 0.000 μB per atom. As for the density: 8.285 g cm⁻³. Its total energy is -2.873 eV/atom.

Sr2TaCl: optimized geometry, PBE.

a b c (Å): 9.109 5.969 3.420
angles (deg): 90.01 67.93 130.95
Fractional coordinates of all 4 atoms:
1 Sr 0.000 0.000 0.000
2 Cl 0.500 0.500 0.000
3 Sr 0.500 0.000 0.500
4 Ta 0.000 0.500 0.500

As for the formation energy from raw total energies: 51.4 kJ/mol of formula units. The symmetry is No. 123. The total magnetization is 0.640 μB per atom. As for the density: 5.338 g cm⁻³. Its total energy is -4.133 eV/atom.

Pa2TiV: optimized geometry, PBE.

a b c (Å): 2.976 2.976 10.720
angles (deg): 82.02 82.02 60.00
Fractional coordinates of all 4 atoms:
1 Ti 0.000 0.000 0.000
2 V 0.500 0.500 0.500
3 Pa 0.913 0.913 0.261
4 Pa 0.087 0.087 0.739

As for the formation energy from the elements: 148.4 kJ/mol of formula units. The symmetry is No. 166. The total magnetization is 0.000 μB per atom. As for the density: 11.479 g cm⁻³. Its total energy is -8.617 eV/atom.

NiTe2BrCl: optimized geometry, PBE.

a b c (Å): 6.012 4.407 6.012
angles (deg): 90.00 90.00 90.00
Fractional coordinates of all 5 atoms:
1 Te 0.000 0.000 0.500
2 Cl 0.500 0.500 0.500
3 Ni 0.000 0.500 0.000
4 Te 0.500 0.000 0.000
5 Br 0.000 0.000 0.000

As for the formation energy from raw total energies: 416.9 kJ/mol of formula units. The symmetry is No. 123. The total magnetization is 0.728 μB per atom. As for the density: 4.474 g cm⁻³. Its total energy is -2.253 eV/atom.

Li2NbGa2: optimized geometry, PBE.

a b c (Å): 7.368 7.368 2.735
angles (deg): 90.00 90.00 90.00
Fractional coordinates of all 10 atoms:
1 Li 0.616 0.116 0.000
2 Nb 0.500 0.500 0.000
3 Ga 0.182 0.682 0.500
4 Ga 0.682 0.818 0.500
5 Li 0.116 0.384 0.000
6 Ga 0.318 0.182 0.500
7 Nb 0.000 0.000 0.000
8 Li 0.884 0.616 0.000
9 Ga 0.818 0.318 0.500
10 Li 0.384 0.884 0.000

As for the formation energy from the elements: -70.7 kJ/mol of formula units. The symmetry is No. 127. The total magnetization is 0.000 μB per atom. As for the density: 5.508 g cm⁻³. Its total energy is -4.137 eV/atom.

YRuPt2: optimized geometry, PBE.

a b c (Å): 4.652 4.652 4.652
angles (deg): 60.00 60.00 60.00
Fractional coordinates of all 4 atoms:
1 Y 0.750 0.750 0.750
2 Pt 0.250 0.250 0.250
3 Pt 0.000 0.000 0.000
4 Ru 0.500 0.500 0.500

As for the formation energy from the elements: -112.3 kJ/mol of formula units. The symmetry is No. 216. The total magnetization is 0.362 μB per atom. As for the density: 13.534 g cm⁻³. Its total energy is -7.246 eV/atom.

ZrAsRu2W: optimized geometry, PBE.

a b c (Å): 4.426 4.879 4.426
angles (deg): 90.00 90.00 90.00
Fractional coordinates of all 5 atoms:
1 W 0.500 0.500 0.500
2 Ru 0.500 0.000 0.000
3 Zr 0.000 0.500 0.000
4 Ru 0.000 0.000 0.500
5 As 0.000 0.000 0.000

As for the formation energy from the elements: 458.9 kJ/mol of formula units. The symmetry is No. 123. The total magnetization is 0.000 μB per atom. As for the density: 9.592 g cm⁻³. Its total energy is -7.989 eV/atom.

SiTeSe: optimized geometry, PBE.

a b c (Å): 5.787 7.390 8.984
angles (deg): 128.12 90.00 90.00
Fractional coordinates of all 12 atoms:
1 Se 0.552 0.703 0.098
2 Te 0.475 0.797 0.737
3 Te 0.475 0.297 0.237
4 Te 0.975 0.203 0.263
5 Si 0.976 0.230 0.589
6 Se 0.552 0.203 0.598
7 Se 0.052 0.297 0.902
8 Si 0.976 0.730 0.089
9 Si 0.476 0.270 0.911
10 Te 0.975 0.703 0.763
11 Se 0.052 0.797 0.402
12 Si 0.476 0.770 0.411

As for the formation energy from raw total energies: 5.7 kJ/mol of formula units. The symmetry is No. 4. The total magnetization is 0.000 μB per atom. As for the density: 5.156 g cm⁻³. Its total energy is -3.997 eV/atom.

CsCdNi2Os: optimized geometry, PBE.

a b c (Å): 4.712 5.155 4.712
angles (deg): 90.00 90.00 90.00
Fractional coordinates of all 5 atoms:
1 Ni 0.500 0.000 0.000
2 Ni 0.000 0.000 0.500
3 Cs 0.000 0.000 0.000
4 Cd 0.500 0.500 0.500
5 Os 0.000 0.500 0.000

As for the formation energy from the elements: 1197.8 kJ/mol of formula units. The symmetry is No. 123. The total magnetization is 0.121 μB per atom. As for the density: 8.024 g cm⁻³. Its total energy is -2.429 eV/atom.

PrYP: optimized geometry, PBE.

a b c (Å): 3.983 3.983 6.624
angles (deg): 90.00 90.00 120.00
Fractional coordinates of all 3 atoms:
1 Y 0.333 0.667 0.573
2 Pr 0.000 0.000 0.084
3 P 0.667 0.333 0.343

As for the formation energy from the elements: -273.1 kJ/mol of formula units. The symmetry is No. 156. The total magnetization is 0.253 μB per atom. As for the density: 4.759 g cm⁻³. Its total energy is -6.495 eV/atom.

Pm3SiRu: optimized geometry, PBE.

a b c (Å): 7.292 7.292 7.292
angles (deg): 85.01 118.75 127.30
Fractional coordinates of all 10 atoms:
1 Pm 0.030 0.775 0.244
2 Pm 0.966 0.782 0.684
3 Si 0.519 0.282 0.736
4 Pm 0.531 0.275 0.245
5 Si 0.546 0.782 0.264
6 Pm 0.030 0.286 0.755
7 Pm 0.531 0.786 0.756
8 Ru 0.033 0.533 0.000
9 Ru 0.532 0.033 0.000
10 Pm 0.098 0.282 0.316

As for the formation energy from raw total energies: -88.3 kJ/mol of formula units. The symmetry is No. 46. The total magnetization is 0.000 μB per atom. As for the density: 7.246 g cm⁻³. Its total energy is -5.973 eV/atom.

Sr2TcHg: optimized geometry, PBE.

a b c (Å): 10.206 10.206 10.206
angles (deg): 20.81 20.81 20.81
Fractional coordinates of all 4 atoms:
1 Tc 0.250 0.250 0.250
2 Sr 0.509 0.509 0.509
3 Sr 0.991 0.991 0.991
4 Hg 0.750 0.750 0.750

As for the formation energy from the elements: 225.9 kJ/mol of formula units. The symmetry is No. 166. The total magnetization is 0.255 μB per atom. As for the density: 6.701 g cm⁻³. Its total energy is -2.923 eV/atom.

NdPaFe: optimized geometry, PBE.

a b c (Å): 4.092 4.100 11.161
angles (deg): 79.51 90.00 119.94
Fractional coordinates of all 6 atoms:
1 Pa 0.127 0.254 0.117
2 Fe 0.215 0.429 0.849
3 Fe 0.785 0.571 0.151
4 Nd 0.381 0.762 0.360
5 Pa 0.873 0.746 0.883
6 Nd 0.619 0.238 0.640

As for the formation energy from the elements: 9.8 kJ/mol of formula units. The symmetry is No. 12. The total magnetization is 0.000 μB per atom. As for the density: 9.026 g cm⁻³. Its total energy is -7.541 eV/atom.

Cd3Pd3Au: optimized geometry, PBE.

a b c (Å): 4.796 7.738 7.738
angles (deg): 120.00 90.00 90.00
Fractional coordinates of all 14 atoms:
1 Cd 0.250 0.367 0.454
2 Pd 0.250 0.958 0.191
3 Pd 0.250 0.234 0.042
4 Pd 0.750 0.191 0.234
5 Cd 0.250 0.546 0.913
6 Pd 0.250 0.809 0.766
7 Pd 0.750 0.766 0.958
8 Cd 0.750 0.633 0.546
9 Au 0.750 0.333 0.667
10 Cd 0.750 0.454 0.087
11 Cd 0.250 0.087 0.633
12 Pd 0.750 0.042 0.809
13 Cd 0.750 0.913 0.367
14 Au 0.250 0.667 0.333

As for the formation energy from the elements: -175.8 kJ/mol of formula units. The symmetry is No. 176. The total magnetization is 0.000 μB per atom. As for the density: 11.397 g cm⁻³. Its total energy is -3.346 eV/atom.